[1]
This record from Alexandria describes crystalline SrAlCr4 at its relaxed geometry. The functional is PBE.

The value obtained for the formation energy is 0.696 eV per atom. As for the space group: F-43m (216). Its density is 5.716 g/cm³.

abc: 5.098 5.098 5.098
angles: 60.00 60.00 60.00
Fractional positions:
Sr: 0.000 0.000 0.000
Al: 0.750 0.750 0.750
Cr: 0.375 0.375 0.375
Cr: 0.375 0.375 0.876
Cr: 0.375 0.876 0.375
Cr: 0.876 0.375 0.375

[2]
This record from Alexandria describes crystalline ErSb2Te4 at its relaxed geometry. The functional is PBE.

The value obtained for the formation energy from raw total energies is -2.86 eV/f.u. As for the space group: Cmcm (63). Its density is 6.609 g/cm³.

abc: 7.964 7.964 14.540
angles: 90.00 90.00 149.87
Fractional positions:
Er: 0.112 0.888 0.750
Er: 0.888 0.112 0.250
Sb: 0.367 0.633 0.568
Sb: 0.367 0.633 0.932
Sb: 0.633 0.367 0.068
Sb: 0.633 0.367 0.432
Te: 0.000 0.000 0.000
Te: 0.000 0.000 0.500
Te: 0.291 0.709 0.123
Te: 0.291 0.709 0.377
Te: 0.469 0.531 0.750
Te: 0.531 0.469 0.250
Te: 0.709 0.291 0.623
Te: 0.709 0.291 0.877

[3]
This record from Alexandria describes crystalline PaHgTe at its relaxed geometry. The functional is PBE.

The value obtained for the formation energy from raw total energies is -0.69 eV/f.u. For the distance to the lowest polymorph of the same formula, the calculation gives 0.557 eV/f.u. As for the space group: I4mm (107). Its density is 11.727 g/cm³.

abc: 6.034 6.034 6.034
angles: 142.96 142.96 53.38
Fractional positions:
Pa: 0.000 0.000 0.000
Hg: 0.329 0.329 0.000
Te: 0.654 0.654 0.000

[4]
This record from Alexandria describes crystalline La2CuIr at its relaxed geometry. The functional is PBE.

The value obtained for the formation energy is -0.326 eV per atom. As for the space group: Imm2 (44). Its density is 9.336 g/cm³.

abc: 6.410 6.410 6.410
angles: 145.71 139.93 53.74
Fractional positions:
La: 0.000 0.000 0.000
La: 0.718 0.218 0.500
Cu: 0.423 0.423 0.000
Ir: 0.263 0.763 0.500

[5]
This record from Alexandria describes crystalline BaMnTl2N at its relaxed geometry. The functional is PBE.

The value obtained for the formation energy from raw total energies is 1.21 eV/f.u. For the distance to the lowest polymorph of the same formula, the calculation gives 0.000 eV/f.u. As for the space group: P4/mmm (123). Its density is 8.648 g/cm³.

abc: 5.698 5.698 3.637
angles: 90.00 90.00 90.00
Fractional positions:
Ba: 0.000 0.000 0.000
Mn: 0.500 0.500 0.500
Tl: 0.000 0.500 0.500
Tl: 0.500 0.000 0.500
N: 0.500 0.500 0.000

[6]
This record from Alexandria describes crystalline Dy2Al5Ag5 at its relaxed geometry. The functional is PBE.

The value obtained for the formation energy is -0.315 eV per atom. As for the space group: Pmmm (47). Its density is 7.206 g/cm³.

abc: 4.446 5.435 9.529
angles: 90.00 90.00 90.00
Fractional positions:
Dy: 0.000 0.000 0.000
Dy: 0.000 0.500 0.500
Al: 0.500 0.000 0.500
Al: 0.500 0.248 0.245
Al: 0.500 0.248 0.755
Al: 0.500 0.752 0.245
Al: 0.500 0.752 0.755
Ag: 0.000 0.000 0.335
Ag: 0.000 0.000 0.665
Ag: 0.000 0.500 0.180
Ag: 0.000 0.500 0.820
Ag: 0.500 0.500 0.000

[7]
This record from Alexandria describes crystalline PmGaCoNi at its relaxed geometry. The functional is PBE.

The value obtained for the formation energy is -0.187 eV per atom. As for the space group: F-43m (216). Its density is 8.499 g/cm³.

abc: 4.512 4.512 4.512
angles: 60.00 60.00 60.00
Fractional positions:
Pm: 0.000 0.000 0.000
Ga: 0.500 0.500 0.500
Co: 0.750 0.750 0.750
Ni: 0.250 0.250 0.250

Number 1: E -6.623 eV/atom. Number 2: E -4.033 eV/atom. Number 3: E -4.545 eV/atom. Number 4: E -6.029 eV/atom. Number 5: E -4.588 eV/atom. Number 6: E -3.830 eV/atom. Number 7: E -5.353 eV/atom.